## FeSiAu2 (GGA-PBE)

Data for FeSiAu2 after structural relaxation.

Results
ΔE_f (raw) = 231 meV/atom
D(E_F) = 3.2 states/eV/cell
M_tot = 2.99 μB/f.u.
Symmetry = Pmmm, No. 47

abc: 3.1106 3.7719 5.4810
angles: 90.00 90.00 90.00
Closest atoms and distances in Å follow each position.
Element x y z (fractional)
Au (0.0000, 0.0000, 0.0028)  2 Au 2.71-2.77, 4 Fe 2.79, 4 Si 2.81
Au (0.0000, 0.0000, 0.4972)  2 Au 2.71-2.77, 4 Fe 2.79, 4 Si 2.81
Fe (0.5000, 0.5000, 0.2500)  2 Si 2.74, 8 Au 2.79
Si (0.5000, 0.5000, 0.7500)  2 Fe 2.74, 8 Au 2.81

## FeSiAu2 (GGA-PBE)

Data for FeSiAu2 after structural relaxation.

Results
ΔE_f (raw) = 252 meV/atom
D(E_F) = 5.0 states/eV/cell
M_tot = 2.73 μB/f.u.
Symmetry = I-4m2, No. 119

abc: 4.8301 4.8301 4.8301
angles: 130.85 130.85 72.05
Closest atoms and distances in Å follow each position.
Element x y z (fractional)
Au (0.0000, 0.0000, 0.0000)  4 Au 2.80, 4 Si 2.80, 4 Fe 2.84
Au (0.2500, 0.7500, 0.5000)  4 Fe 2.80, 4 Au 2.80, 4 Si 2.84
Fe (0.5000, 0.5000, 0.0000)  4 Si 2.80, 8 Au 2.80-2.84
Si (0.7500, 0.2500, 0.5000)  4 Fe 2.80, 8 Au 2.80-2.84

## FeSiAu2 (GGA-PBE)

Data for FeSiAu2 after structural relaxation.

Results
ΔE_f (raw) = 247 meV/atom
D(E_F) = 2.7 states/eV/cell
M_tot = 2.73 μB/f.u.
Symmetry = C2/m, No. 12

abc: 4.7721 5.4934 2.8347
angles: 75.55 88.88 115.42
Closest atoms and distances in Å follow each position.
Element x y z (fractional)
Au (0.0000, 0.0000, 0.0000)  6 Au 2.75-2.83, 2 Si 2.76, 2 Fe 2.76
Au (0.5000, 0.0000, 0.5000)  6 Au 2.75-2.83, 2 Fe 2.76, 2 Si 2.76
Fe (0.0000, 0.5000, 0.5000)  4 Si 2.75-2.80, 4 Au 2.76, 2 Fe 2.83
Si (0.5000, 0.5000, 0.0000)  4 Fe 2.75-2.80, 4 Au 2.76, 2 Si 2.83

## Fe2SiAu (GGA-PBE)

Data for Fe2SiAu after structural relaxation.

Results
ΔE_f (raw) = 133 meV/atom
D(E_F) = 4.1 states/eV/cell
M_tot = 4.07 μB/f.u.
Symmetry = P4/mmm, No. 123

abc: 4.4385 4.4385 2.7304
angles: 90.00 90.00 90.00
Closest atoms and distances in Å follow each position.
Element x y z (fractional)
Au (0.0000, 0.5000, 0.5000)  8 Fe 2.61, 2 Au 2.73
Fe (0.0000, 0.0000, 0.0000)  4 Si 2.61, 4 Au 2.61, 2 Fe 2.73
Fe (0.5000, 0.5000, 0.0000)  4 Si 2.61, 4 Au 2.61, 2 Fe 2.73
Si (0.5000, 0.0000, 0.5000)  8 Fe 2.61, 2 Si 2.73

## FeSiAu2 (GGA-PBE)

Data for FeSiAu2 after structural relaxation.

Results
ΔE_f (raw) = 334 meV/atom
D(E_F) = 5.9 states/eV/cell
M_tot = 2.85 μB/f.u.
Symmetry = I-42d, No. 122

abc: 3.8248 3.8248 9.7412
angles: 78.68 78.68 90.00
Closest atoms and distances in Å follow each position.
Element x y z (fractional)
Si (0.5000, 0.5000, 0.0000)  4 Au 2.70, 4 Fe 2.70
Si (0.2500, 0.7500, 0.5000)  4 Au 2.70, 4 Fe 2.70
Au (0.6238, 0.1250, 0.2500)  4 Au 2.70-2.71, 2 Si 2.70, 2 Fe 2.70
Au (0.1262, 0.6250, 0.2500)  4 Au 2.70-2.71, 2 Si 2.70, 2 Fe 2.70
Au (0.3750, 0.3762, 0.7500)  4 Au 2.70-2.71, 2 Si 2.70, 2 Fe 2.70
Au (0.8750, 0.8738, 0.7500)  4 Au 2.70-2.71, 2 Si 2.70, 2 Fe 2.70
Fe (0.0000, 0.0000, 0.0000)  4 Au 2.70, 4 Si 2.70
Fe (0.7500, 0.2500, 0.5000)  4 Au 2.70, 4 Si 2.70

## FeSiAu2 (GGA-PBE)

Data for FeSiAu2 after structural relaxation.

Results
ΔE_f (raw) = 35 meV/atom
D(E_F) = 2.7 states/eV/cell
M_tot = 0.90 μB/f.u.
Symmetry = Immm, No. 71

abc: 6.8213 6.8213 3.6707
angles: 74.39 74.39 23.43
Closest atoms and distances in Å follow each position.
Element x y z (fractional)
Au (0.0722, 0.0722, 0.9275)  2 Fe 2.67, 6 Au 2.77-2.96, 2 Si 2.93
Au (0.4278, 0.4278, 0.5725)  2 Fe 2.67, 6 Au 2.77-2.96, 2 Si 2.93
Fe (0.7500, 0.7500, 0.7500)  4 Si 2.30
Si (0.2500, 0.2500, 0.2500)  4 Fe 2.30